First-principles (PBE) data for a geometry-optimized KNiPb3 structure, as listed in Alexandria.

Cell and atoms, written as extended XYZ:
```
5
Lattice="5.9137 0.0000 0.0000 0.0000 5.9137 0.0000 0.0000 0.0000 5.9137" Properties=species:S:1:pos:R:3 pbc="T T T"
K 0.0000 0.0000 0.0000
Ni 2.9568 2.9568 2.9568
Pb 0.0000 0.0000 2.9568
Pb 0.0000 2.9568 0.0000
Pb 2.9568 0.0000 0.0000
```

## Properties
For the density of states at the Fermi level, the calculation gives 9.15 states/eV/cell. The calculated formation energy is 1.537 eV/atom. The calculation puts the relative energy among the computed polymorphs at 7.321 eV/f.u.